DFT (GGA-PBE) results for crystalline ScBi3S6 at its relaxed geometry.

```
20
Lattice="11.4778 0.0000 0.0000 0.0000 3.9137 0.0000 -2.9556 0.0000 11.1424" Properties=species:S:1:pos:R:3 pbc="T T T"
Sc -0.1215 0.9784 1.9731
Sc 8.6437 2.9353 9.1693
Bi -0.0210 0.9784 6.5662
Bi 3.3989 2.9353 0.1403
Bi 3.7964 0.9784 3.7302
Bi 4.7258 2.9353 7.4122
Bi 5.1233 0.9784 11.0021
Bi 8.5432 2.9353 4.5763
S -0.3197 2.9353 4.2472
S -1.7633 0.9784 10.6820
S -0.1860 2.9353 8.3730
S 1.8561 2.9353 2.3071
S 3.0601 0.9784 6.6757
S 4.9455 0.9784 1.2952
S 3.5766 2.9353 9.8473
S 5.4621 2.9353 4.4667
S 6.6661 0.9784 8.8353
S 8.7082 0.9784 2.7695
S 10.2855 2.9353 0.4604
S 8.8419 0.9784 6.8952
```

Summary:
**VASP energy**: -49.4 eV/f.u.
**Energy relative to the lowest polymorph listed for this composition**: 39.4 meV per atom
**ΔE_f (raw)**: -0.67 eV/atom
**Density**: 5.73 g/cm³
**Spin magnetization**: 0.0 μB per formula unit